No. 1
First-principles (meta-GGA SCAN) data for a PBEsol-optimized structure of NdNiB5O10, as listed in Alexandria via LeMat-Bulk.

Unit cell a=8.584 b=7.549 c=12.368 alpha=90.00 beta=130.01 gamma=90.00
Space group P2_1/c (No. 14)
Symmetry-distinct sites (fractional):
Nd  0.058  0.180  0.235 x4
Ni  0.471  0.588  0.871 x4
B  0.090  0.675  0.608 x4
B  0.158  0.599  0.999 x4
B  0.275  0.035  0.054 x4
B  0.348  0.578  0.260 x4
B  0.483  0.189  0.914 x4
O  0.029  0.724  0.987 x4
O  0.092  0.107  0.917 x4
O  0.117  0.551  0.879 x4
O  0.200  0.709  0.234 x4
O  0.233  0.525  0.649 x4
O  0.320  0.091  0.804 x4
O  0.322  0.537  0.130 x4
O  0.324  0.625  0.508 x4
O  0.427  0.149  0.432 x4
O  0.450  0.154  0.133 x4

Output
Crystal system = monoclinic
ρ = 4512 kg/m³
Formation energy from raw total energies = -2.71 eV/atom

---

No. 2
First-principles (meta-GGA SCAN) data for a PBEsol-optimized structure of Nd13B4O26, as listed in Alexandria via LeMat-Bulk.

Unit cell a=6.722 b=12.632 c=14.188 alpha=90.00 beta=99.64 gamma=90.00
Space group P2_1/c (No. 14)
Symmetry-distinct sites (fractional):
Nd  0.000  0.000  0.000 x2
Nd  0.054  0.216  0.200 x4
Nd  0.142  0.192  0.469 x4
Nd  0.234  0.501  0.169 x4
Nd  0.330  0.616  0.945 x4
Nd  0.378  0.698  0.665 x4
Nd  0.488  0.611  0.415 x4
B  0.140  0.095  0.837 x4
B  0.321  0.054  0.290 x4
O  0.012  0.650  0.632 x4
O  0.023  0.134  0.605 x4
O  0.142  0.076  0.323 x4
O  0.161  0.155  0.068 x4
O  0.164  0.513  0.350 x4
O  0.196  0.658  0.091 x4
O  0.268  0.150  0.786 x4
O  0.283  0.741  0.324 x4
O  0.334  0.047  0.530 x4
O  0.345  0.554  0.551 x4
O  0.401  0.547  0.790 x4
O  0.427  0.136  0.256 x4
O  0.476  0.248  0.975 x4

Output
Crystal system = monoclinic
ρ = 6527 kg/m³
Formation energy from raw total energies = -3.48 eV/atom